NaCa2ScPt | PBE | optimized geometry

Cell: 5.700 5.700 5.126 Å, 90.00 90.00 90.00°
Element x y z (fractional)
Na: 0.500 0.500 0.500
Ca: 0.000 0.500 0.000
Pt: 0.000 0.000 0.000
Ca: 0.500 0.000 0.000
Sc: 0.000 0.000 0.500

Output
**Fermi-level density of states**: 3.54 states/eV/cell
**Magnetization**: 0.00 μB per formula unit
**Total DFT energy (no corrections)**: -3.905 eV/atom